Tl2VPd: relaxed, PBE.

```
8
Lattice="-3.823 3.823 3.020 3.823 -3.823 3.020 3.823 3.823 -3.020" Properties=species:S:1:pos:R:3 pbc="T T T"
Tl 5.734 1.825 -0.755
Tl 1.825 1.911 0.755
Tl -1.911 1.997 2.265
Tl 1.997 1.911 3.776
V 3.823 0.000 1.510
V 0.000 0.000 3.020
Pd 0.000 0.000 0.000
Pd 0.000 3.823 1.510
```

Summary:
Crystal system ... tetragonal
Calculated density ... 10.6 Mg/m³
Total magnetization ... 0.744 μB per atom
Calculated volume ... 22.1 Å³ per atom
Energy above the most stable polymorph in this dataset ... 208.7 meV per atom
E ... -4.293 eV per atom